Entry 1:
Compound: Fe3BiBr12
Source: the Alexandria database
Functional: GGA-PBE
Structure: optimized geometry

Cell and atoms, written as CIF:
```
data_Fe3BiBr12
_chemical_formula_sum 'Fe6 Bi2 Br24'
_symmetry_space_group_name_H-M 'P 63/m'
_symmetry_Int_Tables_number 176
_symmetry_space_group_name_Hall '-P 6c'
_cell_length_a 14.3553
_cell_length_b 14.3553
_cell_length_c 7.5129
_cell_angle_alpha 90.00
_cell_angle_beta 90.00
_cell_angle_gamma 120.00
loop_
_atom_site_label
_atom_site_fract_x
_atom_site_fract_y
_atom_site_fract_z
_atom_site_occupancy
Fe1 0.1275 0.6974 0.2500 1
Bi1 0.3333 0.6667 0.7500 1
Br1 0.0177 0.5136 0.2500 1
Br2 0.0380 0.7921 0.2500 1
Br3 0.2355 0.4793 0.5115 1
```



Entry 2:
Compound: Fe2BiBr
Source: the Alexandria database
Functional: GGA-PBE
Structure: optimized geometry

Cell and atoms, written as CIF:
```
data_Fe2BiBr
_chemical_formula_sum 'Fe8 Bi4 Br4'
_symmetry_space_group_name_H-M 'F m -3 m'
_symmetry_Int_Tables_number 225
_symmetry_space_group_name_Hall '-F 4 2 3'
_cell_length_a 6.598
_cell_length_b 6.598
_cell_length_c 6.598
_cell_angle_alpha 90.00
_cell_angle_beta 90.00
_cell_angle_gamma 90.00
loop_
_atom_site_label
_atom_site_fract_x
_atom_site_fract_y
_atom_site_fract_z
_atom_site_occupancy
Fe1 0.250 0.250 0.250 1
Bi1 0.000 0.000 0.000 1
Br1 0.000 0.000 0.500 1
```



Entry 3:
Compound: FeBi2Br
Source: the Alexandria database
Functional: GGA-PBE
Structure: optimized geometry

Cell and atoms, written as CIF:
```
data_FeBi2Br
_chemical_formula_sum 'Fe4 Bi8 Br4'
_symmetry_space_group_name_H-M 'I -4 2 d'
_symmetry_Int_Tables_number 122
_symmetry_space_group_name_Hall 'I -4 2bw'
_cell_length_a 6.532
_cell_length_b 6.532
_cell_length_c 12.699
_cell_angle_alpha 90.00
_cell_angle_beta 90.00
_cell_angle_gamma 90.00
loop_
_atom_site_label
_atom_site_fract_x
_atom_site_fract_y
_atom_site_fract_z
_atom_site_occupancy
Fe1 0.000 0.000 0.000 1
Bi1 0.148 0.250 0.125 1
Br1 0.000 0.000 0.500 1
```



Entry 4:
Compound: Fe2BiBr8
Source: the Alexandria database
Functional: GGA-PBE
Structure: optimized geometry

Cell and atoms, written as CIF:
```
data_Fe2BiBr8
_chemical_formula_sum 'Fe4 Bi2 Br16'
_symmetry_space_group_name_H-M 'C 1 2/m 1'
_symmetry_Int_Tables_number 12
_cell_length_a 13.531
_cell_length_b 9.666
_cell_length_c 6.735
_cell_angle_alpha 90.00
_cell_angle_beta 96.19
_cell_angle_gamma 90.00
loop_
_symmetry_equiv_pos_as_xyz
'x,y,z'
'-x,-y,-z'
'-x,y,-z'
'x,-y,z'
'x+1/2,y+1/2,z'
'-x+1/2,-y+1/2,-z'
'-x+1/2,y+1/2,-z'
'x+1/2,-y+1/2,z'
loop_
_atom_site_label
_atom_site_fract_x
_atom_site_fract_y
_atom_site_fract_z
_atom_site_occupancy
Fe1 0.192 0.000 0.134 1
Bi1 0.000 0.000 0.500 1
Br1 0.098 0.193 0.258 1
Br2 0.144 0.500 0.732 1
Br3 0.183 0.000 0.774 1
```



Entry 5:
Compound: Fe2BiBr8
Source: the Alexandria database
Functional: GGA-PBE
Structure: optimized geometry

Cell and atoms, written as CIF:
```
data_Fe2BiBr8
_chemical_formula_sum 'Fe4 Bi2 Br16'
_symmetry_space_group_name_H-M 'C 1 2/m 1'
_symmetry_Int_Tables_number 12
_cell_length_a 14.329
_cell_length_b 9.045
_cell_length_c 6.731
_cell_angle_alpha 90.00
_cell_angle_beta 93.25
_cell_angle_gamma 90.00
loop_
_symmetry_equiv_pos_as_xyz
'x,y,z'
'-x,-y,-z'
'-x,y,-z'
'x,-y,z'
'x+1/2,y+1/2,z'
'-x+1/2,-y+1/2,-z'
'-x+1/2,y+1/2,-z'
'x+1/2,-y+1/2,z'
loop_
_atom_site_label
_atom_site_fract_x
_atom_site_fract_y
_atom_site_fract_z
_atom_site_occupancy
Fe1 0.180 0.000 0.113 1
Bi1 0.000 0.000 0.500 1
Br1 0.091 0.207 0.247 1
Br2 0.166 0.500 0.769 1
Br3 0.173 0.000 0.754 1
```



Entry 6:
# FeBiBr3, optimized geometry, DFT GGA-PBE
# ΔE to the lowest computed polymorph	0.00	eV/f.u.
data_FeBiBr3
_chemical_formula_sum 'Fe1 Bi1 Br3'
_symmetry_space_group_name_H-M 'P m -3 m'
_symmetry_Int_Tables_number 221
_symmetry_space_group_name_Hall '-P 4 2 3'
_cell_length_a 4.916
_cell_length_b 4.916
_cell_length_c 4.916
_cell_angle_alpha 90.00
_cell_angle_beta 90.00
_cell_angle_gamma 90.00
loop_
_atom_site_label
_atom_site_fract_x
_atom_site_fract_y
_atom_site_fract_z
_atom_site_occupancy
Fe1 0.000 0.000 0.000 1
Bi1 0.500 0.500 0.500 1
Br1 0.000 0.000 0.500 1



Entry 7:
Compound: Fe2BiBr6
Source: the Alexandria database
Functional: GGA-PBE
Structure: optimized geometry

Cell and atoms, written as CIF:
```
data_Fe2BiBr6
_chemical_formula_sum 'Fe8 Bi4 Br24'
_symmetry_space_group_name_H-M 'C 1 2/c 1'
_symmetry_Int_Tables_number 15
_cell_length_a 13.763
_cell_length_b 12.469
_cell_length_c 7.093
_cell_angle_alpha 90.00
_cell_angle_beta 98.17
_cell_angle_gamma 90.00
loop_
_symmetry_equiv_pos_as_xyz
'x,y,z'
'-x,-y,-z'
'-x,y,-z+1/2'
'x,-y,z+1/2'
'x+1/2,y+1/2,z'
'-x+1/2,-y+1/2,-z'
'-x+1/2,y+1/2,-z+1/2'
'x+1/2,-y+1/2,z+1/2'
loop_
_atom_site_label
_atom_site_fract_x
_atom_site_fract_y
_atom_site_fract_z
_atom_site_occupancy
Fe1 0.192 0.072 0.309 1
Bi1 0.000 0.386 0.250 1
Br1 0.130 0.420 0.643 1
Br2 0.131 0.082 0.618 1
Br3 0.133 0.234 0.138 1
```



Entry 8:
Compound: Fe2BiI6Br2
Source: the Alexandria database
Functional: GGA-PBE
Structure: optimized geometry

Cell and atoms, written as CIF:
```
data_Fe2BiI6Br2
_chemical_formula_sum 'Fe2 Bi1 I6 Br2'
_symmetry_space_group_name_H-M 'P -3'
_symmetry_Int_Tables_number 147
_cell_length_a 7.4877
_cell_length_b 7.4877
_cell_length_c 10.4069
_cell_angle_alpha 90.00
_cell_angle_beta 90.00
_cell_angle_gamma 120.00
loop_
_symmetry_equiv_pos_as_xyz
'x,y,z'
'-x,-y,-z'
'-y,x-y,z'
'y,-x+y,-z'
'-x+y,-x,z'
'x-y,x,-z'
loop_
_atom_site_label
_atom_site_fract_x
_atom_site_fract_y
_atom_site_fract_z
_atom_site_occupancy
Fe1 0.3333 0.6667 0.2423 1
Bi1 0.0000 0.0000 0.5000 1
I1 0.0006 0.3396 0.6768 1
Br1 0.3333 0.6667 0.0223 1
```



no.,formation energy (no corrections) (meV per atom),V (Å³ per atom)
1,-474,41.90
2,816,17.95
3,338,33.86
4,-541,39.81
5,-541,39.59
6,191,23.76
7,-395,33.47
8,-293,45.94